Entry 1:
Below is a geometry-optimized TmCuN structure, with properties calculated at the PBE level.

The structure in POSCAR format:
```
TmCuN
1.0
-0.426 2.324 2.710
3.878 -3.809 3.876
9.244 6.187 -3.853
N Tm Cu
6 6 6
Cartesian
3.415 2.813 -0.684 N
5.722 0.913 1.309 N
6.974 3.789 1.424 N
9.281 1.888 3.417 N
8.213 7.192 -1.300 N
4.483 -2.490 4.033 N
5.032 -0.842 2.706 Tm
7.014 2.084 2.892 Tm
11.672 2.980 0.471 Tm
7.664 5.544 0.027 Tm
5.681 2.617 -0.159 Tm
1.023 1.721 2.262 Tm
9.574 1.090 1.762 Cu
10.188 4.617 -1.165 Cu
3.122 3.611 0.971 Cu
8.524 2.830 0.106 Cu
4.172 1.872 2.627 Cu
2.508 0.085 3.899 Cu
```

- SG: P2_1/m, No. 11
- Fermi-level density of states: 0.306 states/eV per atom

=====

Entry 2:
Below is a geometry-optimized Tm2CuN structure, with properties calculated at the PBE level.

The structure in POSCAR format:
```
Tm2CuN
1.0
3.305 0.000 0.000
1.653 2.863 0.000
1.653 0.954 8.254
Cu N Tm
1 1 2
Cartesian
0.000 0.000 0.000 Cu
3.305 1.908 4.127 N
1.653 0.954 5.470 Tm
4.958 2.863 2.785 Tm
```

- SG: R-3m, No. 166
- Fermi-level density of states: 0.806 states/eV per atom

=====

Entry 3:
Below is a geometry-optimized UCuN structure, with properties calculated at the PBE level.

The structure in POSCAR format:
```
UCuN
1.0
-2.764 -2.190 -1.453
0.100 -1.008 -3.677
3.258 -7.553 0.180
N U Cu
2 2 2
Cartesian
1.651 -5.039 -0.552 N
-1.057 -5.712 -4.397 N
0.142 -7.588 -3.850 U
0.452 -3.162 -1.099 U
-1.511 -2.546 -3.299 Cu
2.105 -8.204 -1.651 Cu
```

- SG: R-3m, No. 166
- Fermi-level density of states: 1.429 states/eV per atom

=====

Entry 4:
Below is a geometry-optimized UCuN2 structure, with properties calculated at the PBE level.

The structure in POSCAR format:
```
UCuN2
1.0
-1.139 0.996 -3.249
-2.784 -1.673 -1.514
-4.771 3.424 0.746
N U Cu
2 1 1
Cartesian
-5.075 0.537 -3.986 N
-3.619 2.210 -0.030 N
-4.347 1.374 -2.008 U
0.000 0.000 0.000 Cu
```

- SG: R-3m, No. 166
- Fermi-level density of states: 0.957 states/eV per atom

=====

Entry 5:
Below is a geometry-optimized UCuN structure, with properties calculated at the PBE level.

The structure in POSCAR format:
```
UCuN
1.0
3.831 0.000 0.000
0.000 3.831 0.000
-1.916 -1.916 3.283
U N Cu
1 1 1
Cartesian
1.916 1.916 0.570 U
0.000 0.000 1.832 N
1.916 1.916 3.180 Cu
```

- SG: I4mm, No. 107
- Fermi-level density of states: 1.984 states/eV per atom

=====

Entry 6:
Below is a geometry-optimized VCuN2 structure, with properties calculated at the PBE level.

The structure in POSCAR format:
```
VCuN2
1.0
-4.083 1.781 -0.605
-0.975 -0.768 4.321
-0.955 4.475 2.919
N V Cu
4 2 2
Cartesian
-1.506 0.926 3.333 N
-5.107 4.271 5.284 N
-2.765 2.072 0.913 N
-2.648 3.709 3.738 N
-2.230 2.107 4.548 V
-2.529 0.506 1.858 V
0.000 0.000 0.000 Cu
-3.784 3.381 2.086 Cu
```

- SG: I-42d, No. 122
- Fermi-level density of states: 0.195 states/eV per atom

=====

Entry 7:
Below is a geometry-optimized VCu3N structure, with properties calculated at the PBE level.

The structure in POSCAR format:
```
VCu3N
1.0
-2.719 -1.027 2.648
-1.928 -2.024 -2.765
2.086 -3.211 0.896
N Cu V
1 3 1
Cartesian
0.000 0.000 0.000 N
1.043 -1.605 0.448 Cu
-1.359 -0.514 1.324 Cu
-0.964 -1.012 -1.383 Cu
-1.281 -3.131 0.390 V
```

- SG: Pm-3m, No. 221
- Fermi-level density of states: 0.860 states/eV per atom

=====

Entry 8:
Below is a geometry-optimized VCuN3 structure, with properties calculated at the PBE level.

The structure in POSCAR format:
```
VCuN3
1.0
-0.649 0.699 -3.677
-3.485 -1.473 0.336
-1.364 3.431 0.893
N Cu V
3 1 1
Cartesian
-1.743 -0.736 0.168 N
-0.325 0.350 -1.838 N
-0.682 1.715 0.447 N
-2.749 1.329 -1.224 Cu
0.000 0.000 0.000 V
```

- SG: Pm-3m, No. 221
- Fermi-level density of states: 0.574 states/eV per atom

=====

Entry 9:
Below is a geometry-optimized VCuN2 structure, with properties calculated at the PBE level.

The structure in POSCAR format:
```
VCuN2
1.0
5.310 0.000 0.000
0.000 5.334 0.000
0.000 0.000 6.269
V Cu N
4 4 8
Cartesian
2.599 4.899 5.530 V
5.254 3.102 2.396 V
5.254 0.435 0.739 V
2.599 2.232 3.874 V
2.771 4.817 2.285 Cu
0.116 0.517 3.985 Cu
0.116 3.184 5.419 Cu
2.771 2.150 0.850 Cu
2.120 3.117 5.416 N
2.120 0.450 3.988 N
4.775 2.217 0.854 N
4.456 4.976 5.563 N
4.775 4.884 2.281 N
1.801 3.025 2.428 N
4.456 2.309 3.841 N
1.801 0.358 0.706 N
```

- SG: Pna2_1, No. 33

=====

Entry 10:
Below is a geometry-optimized VCu3N structure, with properties calculated at the PBE level.

The structure in POSCAR format:
```
VCu3N
1.0
-4.206 -0.645 1.774
1.767 -2.873 3.143
0.666 3.547 2.868
Cu N V
3 1 1
Cartesian
-2.103 -0.323 0.887 Cu
0.883 -1.436 1.571 Cu
0.333 1.774 1.434 Cu
-0.887 0.014 3.893 N
0.000 0.000 0.000 V
```

- SG: Pm-3m, No. 221
- Fermi-level density of states: 0.950 states/eV per atom

=====

Entry 11:
Below is a geometry-optimized VCuN2 structure, with properties calculated at the PBE level.

The structure in POSCAR format:
```
VCuN2
1.0
2.275 -2.331 0.000
2.275 2.331 0.000
0.000 0.000 9.190
N V Cu
4 2 2
Cartesian
2.655 0.000 8.667 N
1.895 0.000 4.072 N
2.655 0.000 5.117 N
1.895 0.000 0.522 N
1.489 0.000 2.297 V
3.061 0.000 6.892 V
0.000 0.000 0.000 Cu
0.000 0.000 4.595 Cu
```

- SG: Cmcm, No. 63
- Fermi-level density of states: 0.398 states/eV per atom

=====

Entry 12:
Below is a geometry-optimized VCuN2 structure, with properties calculated at the PBE level.

The structure in POSCAR format:
```
VCuN2
1.0
0.000 2.582 2.582
2.582 0.000 2.582
2.582 2.582 0.000
N V Cu
2 1 1
Cartesian
1.291 1.291 1.291 N
3.874 3.874 3.874 N
0.000 0.000 0.000 V
2.582 2.582 2.582 Cu
```

- SG: Fm-3m, No. 225
- Fermi-level density of states: 0.767 states/eV per atom

=====

Entry 13:
Below is a geometry-optimized V6CuN structure, with properties calculated at the PBE level.

The structure in POSCAR format:
```
V6CuN
1.0
4.260 -0.249 -1.162
1.766 4.554 -0.940
1.152 1.277 4.584
V Cu N
6 1 1
Cartesian
1.405 0.666 1.298 V
1.810 2.630 3.226 V
3.042 1.055 -0.472 V
5.369 2.952 -0.744 V
4.136 4.526 2.954 V
5.773 4.915 1.184 V
3.589 2.791 1.241 Cu
0.000 0.000 0.000 N
```

- SG: P-1, No. 2
- Fermi-level density of states: 0.996 states/eV per atom

=====

Entry 14:
Below is a geometry-optimized VCuN3 structure, with properties calculated at the PBE level.

The structure in POSCAR format:
```
VCuN3
1.0
-0.441 -3.571 0.771
-0.348 -0.732 -3.590
3.637 -0.503 -0.250
V N Cu
1 3 1
Cartesian
1.424 -2.403 -1.535 V
-0.174 -0.366 -1.795 N
-0.221 -1.786 0.385 N
1.819 -0.252 -0.125 N
0.000 0.000 0.000 Cu
```

- SG: Pm-3m, No. 221
- Fermi-level density of states: 0.607 states/eV per atom

=====

Entry 15:
Below is a geometry-optimized VCuN structure, with properties calculated at the PBE level.

The structure in POSCAR format:
```
VCuN
1.0
-2.109 0.613 1.732
1.688 -0.396 2.195
2.314 8.609 -0.227
Cu V N
2 2 2
Cartesian
2.962 7.684 0.889 Cu
-0.859 1.033 0.847 Cu
-0.143 3.697 0.777 V
2.246 5.020 0.960 V
1.711 3.029 1.012 N
0.392 5.688 0.724 N
```

- SG: P4/nmm, No. 129
- Fermi-level density of states: 0.671 states/eV per atom

=====

Entry 16:
Below is a geometry-optimized VCuN structure, with properties calculated at the PBE level.

The structure in POSCAR format:
```
VCuN
1.0
3.968 0.000 0.000
0.000 3.968 0.000
0.000 0.000 4.049
Cu N V
2 2 2
Cartesian
0.000 1.984 4.048 Cu
1.984 0.000 0.000 Cu
1.984 0.000 2.025 N
0.000 1.984 2.024 N
1.984 1.984 2.024 V
0.000 0.000 2.024 V
```

- SG: P4/mmm, No. 123
- Fermi-level density of states: 0.706 states/eV per atom

=====

Entry 17:
Below is a geometry-optimized Y2VCuN structure, with properties calculated at the PBE level.

The structure in POSCAR format:
```
Y2VCuN
1.0
4.886 0.000 0.000
0.000 4.886 0.000
0.000 0.000 3.848
Y Cu V N
2 1 1 1
Cartesian
0.000 2.443 0.000 Y
2.443 0.000 0.000 Y
2.443 2.443 1.924 Cu
0.000 0.000 1.924 V
0.000 0.000 0.000 N
```

- SG: P4/mmm, No. 123
- Fermi-level density of states: 0.547 states/eV per atom

=====

Entry 18:
Below is a geometry-optimized Zr2VCuN structure, with properties calculated at the PBE level.

The structure in POSCAR format:
```
Zr2VCuN
1.0
4.506 0.000 0.000
0.000 4.506 0.000
0.000 0.000 3.821
V N Cu Zr
1 1 1 2
Cartesian
0.000 0.000 1.911 V
0.000 0.000 0.000 N
2.253 2.253 1.911 Cu
0.000 2.253 0.000 Zr
2.253 0.000 0.000 Zr
```

- SG: P4/mmm, No. 123
- Fermi-level density of states: 0.739 states/eV per atom

=====

Entry 19:
Below is a geometry-optimized ZrV2CuN structure, with properties calculated at the PBE level.

The structure in POSCAR format:
```
ZrV2CuN
1.0
4.391 0.000 0.000
0.000 4.896 0.000
0.000 0.000 4.391
N V Zr Cu
1 2 1 1
Cartesian
2.195 2.448 2.195 N
0.000 0.000 2.195 V
2.195 0.000 0.000 V
0.000 2.448 0.000 Zr
0.000 0.000 0.000 Cu
```

- SG: P4/mmm, No. 123
- Fermi-level density of states: 0.883 states/eV per atom

=====

Entry 20:
Below is a geometry-optimized CuWN3 structure, with properties calculated at the PBE level.

The structure in POSCAR format:
```
CuWN3
1.0
-1.330 -3.422 1.425
3.606 -1.546 -0.349
0.863 1.187 3.655
Cu N W
1 3 1
Cartesian
1.569 -1.891 2.366 Cu
-0.665 -1.711 0.713 N
0.431 0.593 1.828 N
1.803 -0.773 -0.175 N
0.000 0.000 0.000 W
```

- SG: Pm-3m, No. 221
- Fermi-level density of states: 0.878 states/eV per atom

=====

Entry 21:
Below is a geometry-optimized CuWN2 structure, with properties calculated at the PBE level.

The structure in POSCAR format:
```
CuWN2
1.0
0.000 2.648 2.648
2.648 0.000 2.648
2.648 2.648 0.000
N W Cu
2 1 1
Cartesian
1.324 1.324 1.324 N
3.973 3.973 3.973 N
2.648 2.648 2.648 W
0.000 0.000 0.000 Cu
```

- SG: Fm-3m, No. 225
- Fermi-level density of states: 0.877 states/eV per atom

=====

Entry 22:
Below is a geometry-optimized CuW2N structure, with properties calculated at the PBE level.

The structure in POSCAR format:
```
CuW2N
1.0
-2.092 -1.792 -0.277
-0.872 -1.458 2.186
-6.335 4.875 2.478
Cu N W
1 1 2
Cartesian
0.000 0.000 0.000 Cu
-4.650 0.812 2.193 N
-4.623 2.967 1.888 W
-4.676 -1.342 2.499 W
```

- SG: R-3m, No. 166
- Fermi-level density of states: 0.463 states/eV per atom

=====

Entry 23:
Below is a geometry-optimized Cu2WN2 structure, with properties calculated at the PBE level.

The structure in POSCAR format:
```
Cu2WN2
1.0
6.237 0.000 0.000
0.000 6.237 0.000
0.000 0.000 2.724
N Cu W
4 4 2
Cartesian
4.333 5.022 1.362 N
1.904 1.215 1.362 N
1.215 4.333 1.362 N
5.022 1.904 1.362 N
3.907 0.788 0.000 Cu
2.330 5.449 0.000 Cu
0.788 2.330 0.000 Cu
5.449 3.907 0.000 Cu
0.000 0.000 0.000 W
3.118 3.118 0.000 W
```

- SG: P4/mbm, No. 127
- Fermi-level density of states: 0.443 states/eV per atom

=====

Entry 24:
Below is a geometry-optimized CuWN3 structure, with properties calculated at the PBE level.

The structure in POSCAR format:
```
CuWN3
1.0
-2.003 -1.379 -2.690
2.528 -2.533 -0.583
-1.657 -2.198 2.361
N Cu W
3 1 1
Cartesian
-1.001 -0.690 -1.345 N
-0.829 -1.099 1.180 N
1.264 -1.267 -0.292 N
0.000 0.000 0.000 Cu
-0.566 -3.055 -0.456 W
```

- SG: Pm-3m, No. 221
- Fermi-level density of states: 0.576 states/eV per atom

=====

Entry 25:
Below is a geometry-optimized Cu2WN2 structure, with properties calculated at the PBE level.

The structure in POSCAR format:
```
Cu2WN2
1.0
3.774 0.000 0.000
0.000 3.774 0.000
1.887 1.887 3.722
Cu N W
2 2 1
Cartesian
1.887 1.887 1.129 Cu
3.774 3.774 2.593 Cu
3.774 1.887 1.861 N
1.887 3.774 1.861 N
0.000 0.000 0.000 W
```

- SG: I4/mmm, No. 139
- Fermi-level density of states: 0.880 states/eV per atom

=====

Entry 26:
Below is a geometry-optimized CuWN2 structure, with properties calculated at the PBE level.

The structure in POSCAR format:
```
CuWN2
1.0
2.095 3.220 5.033
2.291 0.370 5.891
4.448 1.577 4.221
Cu N W
1 2 1
Cartesian
0.000 0.000 0.000 Cu
0.904 0.529 1.551 N
7.929 4.638 13.595 N
4.416 2.583 7.573 W
```

- SG: R-3m, No. 166
- Fermi-level density of states: 0.519 states/eV per atom

=====

Entry 27:
Below is a geometry-optimized CuWN structure, with properties calculated at the PBE level.

The structure in POSCAR format:
```
CuWN
1.0
-2.502 1.262 0.713
-1.140 -3.698 -3.313
0.173 -2.624 5.248
Cu N W
2 2 2
Cartesian
-1.251 -3.535 1.868 Cu
-2.217 -1.524 0.781 Cu
-1.169 -1.419 4.272 N
-2.300 -3.640 -1.623 N
0.000 0.000 0.000 W
0.086 -1.312 2.624 W
```

- SG: C2/m, No. 12
- Fermi-level density of states: 0.570 states/eV per atom

=====

For reference, calculated total energy by record: -6.26 -5.81 -8.47 -8.83 -7.64 -7.86 -5.36 -6.77 -7.83 -3.60 -6.97 -6.90 -8.63 -6.09 -7.58 -7.57 -7.53 -8.39 -6.12 -7.58 -7.59 -9.05 -6.11 -6.59 -6.21 -8.45 -8.16 eV/atom.
For reference, uncorrected formation energy by record: -631 -468 -564 -824 265 -391 583 873 -359 2350 500 563 -242 1550 -398 -388 -634 -664 1718 825 839 536 1450 1816 1352 -25 301 meV per atom.